The following is a GGA+U calculation of an optimized crystal structure of Mn2RuF, from Alexandria.

Results
Magnetization = 16.8 Bohr magnetons per cell
Total DFT energy (no corrections) = -26.5 eV/f.u.
V = 16.040 Å³/atom

abc: 6.3853 6.3853 5.5037
angles: 54.54 54.54 90.00
Sites, in units of the cell vectors:
Mn (0.5674, 0.1250, 0.2500)
F (0.2500, 0.7500, 0.5000)
Mn (0.8750, 0.8174, 0.7500)
F (0.5000, 0.5000, 0.0000)
Mn (0.3750, 0.4326, 0.7500)
Mn (0.1826, 0.6250, 0.2500)
Ru (0.7500, 0.2500, 0.5000)
Ru (0.0000, 0.0000, 0.0000)